1.
{
  "formula": "TbThSi3",
  "functional": "PBE-GGA",
  "state": "relaxed",
  "formation_energy_uncorrected_ev_per_fu": -3.5,
  "dft_energy_ev_per_cell": -63.67,
  "dos_ef_per_ev_atom": 0.56,
  "vol_a3_per_atom": 21.0,
  "lattice": [[4.022, 0.000, 0.000], [0.000, 4.174, -0.798], [0.000, 0.223, 12.481]],
  "species": ["Tb", "Tb", "Si", "Si", "Si", "Si", "Si", "Si", "Th", "Th"],
  "frac_coords": [[0.750, 0.202, 0.404], [0.250, 0.798, 0.596], [0.250, 0.677, 0.355], [0.750, 0.620, 0.240], [0.250, 0.476, 0.951], [0.250, 0.380, 0.760], [0.750, 0.323, 0.645], [0.750, 0.524, 0.049], [0.750, 0.929, 0.859], [0.250, 0.071, 0.141]]
}

=====

2.
{
  "formula": "PrDy6Er2Tm",
  "functional": "PBE-GGA",
  "state": "relaxed",
  "ef_ev_per_atom": 0.121,
  "dft_energy_ev_per_cell": -89.57,
  "dos_ef_per_ev_atom": 1.45,
  "vol_a3_per_atom": 32.0,
  "lattice": [[9.034, -1.937, -2.010], [0.860, 8.494, -1.974], [0.860, -2.288, 8.415]],
  "species": ["Dy", "Dy", "Dy", "Dy", "Dy", "Dy", "Dy", "Dy", "Dy", "Dy", "Dy", "Dy", "Er", "Er", "Er", "Er", "Tm", "Tm", "Pr", "Pr"],
  "frac_coords": [[0.943, 0.877, 0.247], [0.617, 0.488, 0.708], [0.057, 0.123, 0.753], [0.683, 0.014, 0.562], [0.183, 0.562, 0.014], [0.117, 0.708, 0.488], [0.383, 0.512, 0.292], [0.443, 0.247, 0.877], [0.557, 0.753, 0.123], [0.817, 0.438, 0.986], [0.317, 0.986, 0.438], [0.883, 0.292, 0.512], [0.452, 0.798, 0.694], [0.048, 0.306, 0.202], [0.548, 0.202, 0.306], [0.952, 0.694, 0.798], [0.750, 0.589, 0.411], [0.250, 0.411, 0.589], [0.250, 0.972, 0.028], [0.750, 0.028, 0.972]]
}

=====

3.
{
  "formula": "RbTl3Rh",
  "functional": "PBE-GGA",
  "state": "relaxed",
  "ef_ev_per_atom": -0.020,
  "dft_energy_ev_per_cell": -62.07,
  "dos_ef_per_ev_atom": 0.27,
  "relative_energy_ev_per_atom": 0.043,
  "vol_a3_per_atom": 29.9,
  "lattice": [[-21.552, -3.368, 1.441], [0.505, -0.597, 6.152], [7.994, 5.686, -0.104]],
  "species": ["Rh", "Rh", "Rh", "Rh", "Tl", "Tl", "Tl", "Tl", "Tl", "Tl", "Tl", "Tl", "Tl", "Tl", "Tl", "Tl", "Rb", "Rb", "Rb", "Rb"],
  "frac_coords": [[0.093, 0.903, 0.593], [0.407, 0.403, 0.907], [0.907, 0.097, 0.407], [0.593, 0.597, 0.093], [0.219, 0.573, 0.717], [0.065, 0.736, 0.808], [0.435, 0.236, 0.692], [0.281, 0.073, 0.783], [0.822, 0.735, 0.080], [0.935, 0.264, 0.192], [0.678, 0.235, 0.420], [0.781, 0.427, 0.283], [0.719, 0.927, 0.217], [0.322, 0.765, 0.580], [0.565, 0.764, 0.308], [0.178, 0.265, 0.920], [0.921, 0.750, 0.920], [0.579, 0.250, 0.580], [0.421, 0.750, 0.420], [0.079, 0.250, 0.080]]
}